w:
First-principles (PBE-GGA) data for crystalline Sm4Tl3In at its relaxed geometry, as listed in Alexandria.

Computed properties:
As for the magnetization: 0.0000 μB per atom.

Cell lengths 4.4394, 4.6564, 11.7753 Å; angles 90.00, 90.00, 90.00 degrees
Space group Pmm2 (No. 25)
One atom of each set of equivalent atoms:
Sm1 0.0000 0.0000 0.0000 [1 per cell]
Sm2 0.0000 0.5000 0.4972 [1 per cell]
Sm3 0.5000 0.0000 0.7269 [1 per cell]
Sm4 0.5000 0.5000 0.2260 [1 per cell]
Tl1 0.0000 0.5000 0.7709 [1 per cell]
Tl2 0.5000 0.0000 0.4519 [1 per cell]
Tl3 0.5000 0.5000 0.9530 [1 per cell]
In1 0.0000 0.0000 0.2768 [1 per cell]

=====

x:
First-principles (PBE-GGA) data for crystalline Sm4Tl3In at its relaxed geometry, as listed in Alexandria.

Computed properties:
As for the magnetization: 0.0000 μB per atom.

Cell lengths 3.8547, 3.8547, 15.4480 Å; angles 90.00, 90.00, 90.00 degrees
Space group P4/mmm (No. 123)
One atom of each set of equivalent atoms:
Sm1 0.0000 0.0000 0.1229 [2 per cell]
Sm2 0.0000 0.0000 0.3740 [2 per cell]
Tl1 0.5000 0.5000 0.2485 [2 per cell]
Tl2 0.5000 0.5000 0.5000 [1 per cell]
In1 0.5000 0.5000 0.0000 [1 per cell]

=====

Stability, lowest: w

=====

w:
First-principles (PBE-GGA) data for crystalline Sm6Tl3In at its relaxed geometry, as listed in Alexandria.

Computed properties:
As for the magnetization: 0.0001 μB per atom.

Cell lengths 11.8943, 3.7463, 14.5656 Å; angles 90.00, 105.54, 90.00 degrees
Space group P2_1/m (No. 11)
One atom of each set of equivalent atoms:
Sm1 0.0085 0.2500 0.1812 [2 per cell]
Sm2 0.1083 0.7500 0.4136 [2 per cell]
Sm3 0.2366 0.2500 0.8284 [2 per cell]
Sm4 0.3164 0.2500 0.2589 [2 per cell]
Sm5 0.3575 0.2500 0.6262 [2 per cell]
Sm6 0.3713 0.7500 0.0336 [2 per cell]
Tl1 0.1215 0.7500 0.6381 [2 per cell]
Tl2 0.1357 0.2500 0.0152 [2 per cell]
Tl3 0.3905 0.7500 0.4481 [2 per cell]
In1 0.4562 0.7500 0.8185 [2 per cell]

=====

x:
First-principles (PBE-GGA) data for crystalline Sm6Tl3In at its relaxed geometry, as listed in Alexandria.

Computed properties:
As for the magnetization: 0.0000 μB per atom.

Cell lengths 9.7863, 5.3522, 11.7533 Å; angles 90.00, 105.53, 90.00 degrees
Space group P2_1/m (No. 11)
One atom of each set of equivalent atoms:
Sm1 0.0422 0.2500 0.4081 [2 per cell]
Sm2 0.1580 0.7500 0.1803 [2 per cell]
Sm3 0.2593 0.2500 0.9962 [2 per cell]
Sm4 0.3383 0.7500 0.8099 [2 per cell]
Sm5 0.3756 0.2500 0.3363 [2 per cell]
Sm6 0.3993 0.2500 0.6178 [2 per cell]
Tl1 0.0288 0.7500 0.8882 [2 per cell]
Tl2 0.1198 0.2500 0.7107 [2 per cell]
Tl3 0.2760 0.7500 0.4730 [2 per cell]
In1 0.4506 0.7500 0.1086 [2 per cell]

=====

Stability, lowest: w

=====

w:
First-principles (PBE-GGA) data for crystalline Sm4TlIn at its relaxed geometry, as listed in Alexandria.

Computed properties:
As for the magnetization: 0.0715 μB per atom.

Cell lengths 9.1504, 5.2772, 9.1673 Å; angles 90.00, 109.59, 90.00 degrees
Space group C2/m (No. 12)
One atom of each set of equivalent atoms:
Sm1 0.1242 0.0000 0.3732 [4 per cell]
Sm2 0.1254 0.5000 0.8764 [4 per cell]
Tl1 0.0000 0.5000 0.5000 [2 per cell]
In1 0.0000 0.0000 0.0000 [2 per cell]

=====

x:
First-principles (PBE-GGA) data for crystalline Sm4TlIn at its relaxed geometry, as listed in Alexandria.

Computed properties:
As for the magnetization: 0.0002 μB per atom.

Cell lengths 3.5797, 5.7370, 9.3138 Å; angles 90.00, 90.00, 90.00 degrees
Space group Pmmm (No. 47)
One atom of each set of equivalent atoms:
Sm1 0.0000 0.0000 0.1969 [2 per cell]
Sm2 0.5000 0.5000 0.3004 [2 per cell]
Tl1 0.5000 0.0000 0.5000 [1 per cell]
In1 0.0000 0.5000 0.0000 [1 per cell]

=====

Stability, lowest: x

=====

w:
First-principles (PBE-GGA) data for crystalline Sm3TmIn3 at its relaxed geometry, as listed in Alexandria.

Computed properties:
As for the magnetization: 0.0000 μB per atom.

Cell lengths 9.1930, 9.1930, 5.5219 Å; angles 90.00, 90.00, 120.00 degrees
Space group P6_3/m (No. 176)
One atom of each set of equivalent atoms:
Sm1 0.0941 0.6416 0.2500 [6 per cell]
Tm1 0.3333 0.6667 0.7500 [2 per cell]
In1 0.0487 0.8170 0.7500 [6 per cell]

=====

x:
First-principles (PBE-GGA) data for crystalline Sm3TmIn3 at its relaxed geometry, as listed in Alexandria.

Computed properties:
As for the magnetization: 0.0000 μB per atom.

Cell lengths 9.4207, 9.4207, 9.4207 Å; angles 90.00, 90.00, 90.00 degrees
Space group P2_13 (No. 198)
One atom of each set of equivalent atoms:
Sm1 0.0682 0.4318 0.5682 [4 per cell]
Sm2 0.1698 0.8302 0.3302 [4 per cell]
Sm3 0.1772 0.1772 0.1772 [4 per cell]
Tm1 0.0783 0.5783 0.9217 [4 per cell]
In1 0.0051 0.2566 0.8682 [12 per cell]

=====

Stability, lowest: w

=====

w:
First-principles (PBE-GGA) data for crystalline Sm12Tm7In at its relaxed geometry, as listed in Alexandria.

Computed properties:
As for the magnetization: 0.0601 μB per atom.

Cell lengths 12.1938, 12.1938, 15.1536 Å; angles 90.00, 90.00, 120.00 degrees
Space group R-3 (No. 148, hexagonal axes)
One atom of each set of equivalent atoms:
Sm1 0.0263 0.5786 0.2084 [18 per cell]
Sm2 0.0592 0.4691 0.5857 [18 per cell]
Tm1 0.0000 0.0000 0.0000 [3 per cell]
Tm2 0.0470 0.8621 0.3069 [18 per cell]
In1 0.0000 0.0000 0.5000 [3 per cell]

=====

x:
First-principles (PBE-GGA) data for crystalline Sm12Tm7In at its relaxed geometry, as listed in Alexandria.

Computed properties:
As for the magnetization: 0.0001 μB per atom.

Cell lengths 11.4508, 11.4508, 11.4508 Å; angles 90.00, 90.00, 90.00 degrees
Space group Im-3m (No. 229)
One atom of each set of equivalent atoms:
Sm1 0.0000 0.2237 0.2237 [24 per cell]
Tm1 0.0000 0.0000 0.5000 [6 per cell]
Tm2 0.2500 0.2500 0.2500 [8 per cell]
In1 0.0000 0.0000 0.0000 [2 per cell]

=====

Stability, lowest: x

=====

w:
First-principles (PBE-GGA) data for crystalline Sm3Tm3In at its relaxed geometry, as listed in Alexandria.

Computed properties:
As for the magnetization: 0.0055 μB per atom.

Cell lengths 9.4177, 9.4177, 5.5454 Å; angles 90.00, 90.00, 120.00 degrees
Space group P6_3/m (No. 176)
One atom of each set of equivalent atoms:
Sm1 0.1055 0.6301 0.2500 [6 per cell]
Tm1 0.0596 0.8237 0.7500 [6 per cell]
In1 0.3333 0.6667 0.7500 [2 per cell]

=====

x:
First-principles (PBE-GGA) data for crystalline Sm3Tm3In at its relaxed geometry, as listed in Alexandria.

Computed properties:
As for the magnetization: 0.0000 μB per atom.

Cell lengths 12.6810, 5.4348, 12.6639 Å; angles 90.00, 90.00, 90.00 degrees
Space group Pnma (No. 62)
One atom of each set of equivalent atoms:
Sm1 0.1326 0.2500 0.1800 [4 per cell]
Sm2 0.1326 0.7500 0.8179 [4 per cell]
Sm3 0.2173 0.7500 0.4047 [4 per cell]
Tm1 0.0024 0.7500 0.5736 [4 per cell]
Tm2 0.0032 0.7500 0.0589 [4 per cell]
Tm3 0.2169 0.2500 0.5855 [4 per cell]
In1 0.0061 0.2500 0.7075 [4 per cell]

=====

Stability, lowest: x